No. 1
# MgZn3H (PBE-GGA, relaxed)
# VASP energy   -1.52 eV per atom
# V   71.3 Å³ per cell
data_MgZn3H
_chemical_formula_sum 'Mg1 Zn3 H1'
_symmetry_space_group_name_H-M 'P m -3 m'
_symmetry_Int_Tables_number 221
_symmetry_space_group_name_Hall '-P 4 2 3'
_cell_length_a 4.1462
_cell_length_b 4.1462
_cell_length_c 4.1462
_cell_angle_alpha 90.00
_cell_angle_beta 90.00
_cell_angle_gamma 90.00
loop_
_atom_site_label
_atom_site_fract_x
_atom_site_fract_y
_atom_site_fract_z
Mg1 0.0000 0.0000 0.0000
Zn1 0.0000 0.5000 0.5000
H1 0.5000 0.5000 0.5000

No. 2
# Mg2ZnH2 (PBE-GGA, relaxed)
# Distance to the lowest polymorph of the same formula   289 meV/atom
# VASP energy   -1.99 eV per atom
# V   124.9 Å³ per cell
data_Mg2ZnH2
_chemical_formula_sum 'Mg4 Zn2 H4'
_symmetry_space_group_name_H-M 'P 4/m b m'
_symmetry_Int_Tables_number 127
_symmetry_space_group_name_Hall '-P 4 2ab'
_cell_length_a 6.5981
_cell_length_b 6.5981
_cell_length_c 2.8686
_cell_angle_alpha 90.00
_cell_angle_beta 90.00
_cell_angle_gamma 90.00
loop_
_atom_site_label
_atom_site_fract_x
_atom_site_fract_y
_atom_site_fract_z
Mg1 0.1637 0.3363 0.0000
Zn1 0.0000 0.0000 0.5000
H1 0.1215 0.6215 0.5000

No. 3
# MgZn2H2 (PBE-GGA, relaxed)
# Distance to the lowest polymorph of the same formula   0 meV/atom
# VASP energy   -2.11 eV per atom
# V   119.0 Å³ per cell
data_MgZn2H2
_chemical_formula_sum 'Mg2 Zn4 H4'
_symmetry_space_group_name_H-M 'P 4/m b m'
_symmetry_Int_Tables_number 127
_symmetry_space_group_name_Hall '-P 4 2ab'
_cell_length_a 5.1391
_cell_length_b 5.1391
_cell_length_c 4.5072
_cell_angle_alpha 90.00
_cell_angle_beta 90.00
_cell_angle_gamma 90.00
loop_
_atom_site_label
_atom_site_fract_x
_atom_site_fract_y
_atom_site_fract_z
Mg1 0.0000 0.0000 0.0000
Zn1 0.1751 0.3249 0.5000
H1 0.1753 0.3247 0.0000

No. 4
# Mg2ZnH (PBE-GGA, relaxed)
# Distance to the lowest polymorph of the same formula   276 meV/atom
# VASP energy   -1.65 eV per atom
# V   262.3 Å³ per cell
data_Mg2ZnH
_chemical_formula_sum 'Mg8 Zn4 H4'
_symmetry_space_group_name_H-M 'F m -3 m'
_symmetry_Int_Tables_number 225
_symmetry_space_group_name_Hall '-F 4 2 3'
_cell_length_a 6.4010
_cell_length_b 6.4010
_cell_length_c 6.4010
_cell_angle_alpha 90.00
_cell_angle_beta 90.00
_cell_angle_gamma 90.00
loop_
_atom_site_label
_atom_site_fract_x
_atom_site_fract_y
_atom_site_fract_z
Mg1 0.2500 0.2500 0.2500
Zn1 0.0000 0.0000 0.0000
H1 0.0000 0.0000 0.5000